Entry 1:
Here is an optimized crystal structure of CsSNF2 from Alexandria. Energies are from GGA-PBE.

a b c (Å): 5.2411 5.2411 4.9779
angles (deg): 90.00 90.00 90.00
Element x y z (fractional)
Cs 0.0000 0.0000 0.0000
S 0.5000 0.5000 0.5000
N 0.0000 0.0000 0.5000
F 0.0000 0.5000 0.0000
F 0.5000 0.0000 0.0000

space group: P4/mmm, No. 123
energy above the lowest structure with this stoichiometry: 1.506 eV/atom
total DFT energy (no corrections): -2.65 eV per atom
total magnetization: 1.043 μB/atom

---

Entry 2:
Here is an optimized crystal structure of CsSbNF2 from Alexandria. Energies are from GGA-PBE.

a b c (Å): 4.8361 4.8361 4.0416
angles (deg): 90.00 90.00 90.00
Element x y z (fractional)
Cs 0.5000 0.5000 0.5000
Sb 0.0000 0.0000 0.0000
N 0.0000 0.0000 0.5000
F 0.0000 0.5000 0.0000
F 0.5000 0.0000 0.0000

space group: P4/mmm, No. 123
energy above the lowest structure with this stoichiometry: 0.000 eV/atom
total DFT energy (no corrections): -4.63 eV per atom
total magnetization: 0.000 μB/atom

---

Q: What is the formula in the second record?
A: CsSbNF2

---

Q: The lowest total DFT energy (no corrections) belongs to which entry?
A: CsSbNF2

---

Q: Which value of energy above the lowest structure with this stoichiometry does entry 1 give?
A: 1.506 eV/atom

---

Q: What is the energy above the lowest structure with this stoichiometry in the second record?
A: 0.000 eV/atom